Entry 1:
{
  "formula": "RbHfGeO5",
  "functional": "PBE",
  "state": "optimized geometry",
  "magmom_total_mub_per_fu": 1.05,
  "formation_energy_uncorrected_ev_per_atom": -2.1583,
  "vol_a3_per_atom": 15.92,
  "lattice_angstrom": [[6.059, 0.057, -0.081], [-1.714, 5.812, -0.081], [-1.903, -2.571, 7.286]],
  "species": ["Rb", "Rb", "O", "O", "O", "O", "O", "O", "O", "O", "O", "O", "Hf", "Hf", "Ge", "Ge"],
  "fractional_positions": [[0.671, 0.329, 0.750], [0.329, 0.671, 0.250], [0.278, 0.872, 0.606], [0.722, 0.128, 0.394], [0.052, 0.948, 0.250], [0.872, 0.278, 0.106], [0.375, 0.217, 0.119], [0.128, 0.722, 0.894], [0.783, 0.625, 0.381], [0.217, 0.375, 0.619], [0.948, 0.052, 0.750], [0.625, 0.783, 0.881], [0.000, 0.000, 0.000], [0.000, 0.000, 0.500], [0.306, 0.694, 0.750], [0.694, 0.306, 0.250]]
}

***

Entry 2:
{
  "formula": "Rb3HfGe2O8",
  "functional": "PBE",
  "state": "optimized geometry",
  "magmom_total_mub_per_fu": 1.07,
  "formation_energy_uncorrected_ev_per_atom": -2.0182,
  "vol_a3_per_atom": 17.24,
  "lattice_angstrom": [[-2.744, 2.550, 4.502], [3.005, -4.958, 0.830], [6.684, 4.323, 1.626]],
  "species": ["O", "O", "O", "O", "O", "O", "O", "O", "Ge", "Ge", "Hf", "Rb", "Rb", "Rb"],
  "fractional_positions": [[0.335, 0.167, 0.649], [0.333, 0.667, 0.065], [0.665, 0.833, 0.351], [0.833, 0.167, 0.649], [0.167, 0.833, 0.351], [0.833, 0.665, 0.649], [0.667, 0.333, 0.935], [0.167, 0.335, 0.351], [0.333, 0.667, 0.282], [0.667, 0.333, 0.718], [0.000, 0.000, 0.500], [0.333, 0.667, 0.729], [0.000, 0.000, 0.000], [0.667, 0.333, 0.271]]
}

***

Entry 3:
{
  "formula": "HfScGe2O8",
  "functional": "PBE",
  "state": "optimized geometry",
  "magmom_total_mub_per_fu": 0.94,
  "formation_energy_uncorrected_ev_per_atom": -2.3264,
  "vol_a3_per_atom": 12.01,
  "lattice_angstrom": [[-3.896, 1.223, -4.013], [4.471, -2.903, -2.087], [-2.523, -3.263, 3.970]],
  "species": ["Sc", "O", "O", "O", "O", "O", "O", "O", "O", "Ge", "Ge", "Hf"],
  "fractional_positions": [[0.250, 0.750, 0.500], [0.306, 0.493, 0.188], [0.507, 0.694, 0.812], [0.371, 0.064, 0.307], [0.306, 0.118, 0.812], [0.936, 0.243, 0.307], [0.936, 0.629, 0.693], [0.757, 0.064, 0.693], [0.882, 0.694, 0.188], [0.750, 0.250, 0.500], [0.500, 0.500, 0.000], [0.000, 0.000, 0.000]]
}

***

Question: Number 2 is which compound?
Answer: Rb3HfGe2O8